Entry 1:
Compound: KPaTeSe
Source: Alexandria
Functional: PBE
Structure: optimized geometry

Values from the calculation:
Space-group type: R3m, No. 160
D(E_F) (states/eV per atom): 1.345
ΔE_f (raw) (eV/atom): -1.099
Total magnetization (μB/cell): 1.973
Calculated density (g/cm3): 6.07

Unit cell a=4.2431 b=4.2429 c=8.7184 alpha=90.00 beta=104.09 gamma=119.99
Each line ends with the local moment (μB).
Atoms (fractional coordinates):
Se 0.1124 0.9542 0.0818  -0.03
Te 0.4937 0.1448 0.6538  -0.04
K 0.9565 0.3762 0.3480  0.01
Pa 0.3153 0.5556 0.8860  1.53

---

Entry 2:
Compound: K3Th3PaSe8
Source: Alexandria
Functional: PBE
Structure: optimized geometry

Values from the calculation:
Space-group type: R-3m, No. 166
D(E_F) (states/eV per atom): 0.818
ΔE_f (raw) (eV/atom): -1.517
Total magnetization (μB/cell): 2.428
Calculated density (g/cm3): 5.69

Unit cell a=8.4133 b=8.4123 c=9.3481 alpha=116.75 beta=90.00 gamma=120.00
Each line ends with the local moment (μB).
Atoms (fractional coordinates):
Se 0.2336 0.4672 0.7093  -0.01
Se 0.2336 0.9758 0.7093  -0.01
Se 0.2578 0.0242 0.2907  -0.01
Se 0.7422 0.9758 0.7093  -0.01
Se 0.7664 0.0242 0.2907  -0.01
Se 0.7392 0.4785 0.7176  0.00
Se 0.2608 0.5215 0.2824  0.00
Se 0.7664 0.5328 0.2907  -0.01
Th 0.5000 0.0000 0.5000  0.17
Th 0.0000 0.5000 0.5000  0.17
Th 0.5000 0.5000 0.5000  0.17
Pa 0.0000 0.0000 0.5000  1.20
K 0.0000 0.5000 0.0000  0.00
K 0.0000 0.0000 0.0000  0.00
K 0.5000 0.5000 0.0000  0.00

---

Entry 3:
Compound: K4Th3PaSe8
Source: Alexandria
Functional: PBE
Structure: optimized geometry

Values from the calculation:
Space-group type: R-3m, No. 166
D(E_F) (states/eV per atom): 0.727
ΔE_f (raw) (eV/atom): -1.483
Total magnetization (μB/cell): 2.265
Calculated density (g/cm3): 5.88

Unit cell a=8.4144 b=9.2770 c=8.4145 alpha=116.97 beta=120.00 gamma=90.00
Each line ends with the local moment (μB).
Atoms (fractional coordinates):
Se 0.7639 0.2836 0.5279  -0.01
Se 0.7639 0.2836 0.0197  -0.01
Se 0.2361 0.7164 0.4721  -0.01
Se 0.2604 0.2812 0.5208  0.00
Se 0.2361 0.7164 0.9803  -0.01
Se 0.7442 0.7164 0.9803  -0.01
Se 0.2558 0.2836 0.0197  -0.01
Se 0.7396 0.7188 0.4792  0.00
Th 0.5000 0.5000 0.5000  0.12
Th 0.5000 0.5000 0.0000  0.12
Th 0.0000 0.5000 0.5000  0.12
K 0.5000 0.0000 0.5000  0.00
K 0.5000 0.0000 0.0000  0.00
K 0.0000 0.0000 0.5000  0.00
K 0.0000 0.0000 0.0000  0.00
Pa 0.0000 0.5000 0.0000  1.26

---

Entry 4:
Compound: K2PaTiSe4
Source: Alexandria
Functional: PBE
Structure: optimized geometry

Values from the calculation:
Space-group type: P2/m, No. 10
D(E_F) (states/eV per atom): 0.367
ΔE_f (raw) (eV/atom): -1.275
Total magnetization (μB/cell): 3.012
Calculated density (g/cm3): 5.12

Unit cell a=4.0833 b=6.8507 c=8.1505 alpha=106.93 beta=90.00 gamma=90.00
Each line ends with the local moment (μB).
Atoms (fractional coordinates):
Pa 0.0000 0.0000 0.0000  1.16
Se 0.0000 0.2801 0.8030  -0.03
Se 0.5000 0.2504 0.2074  -0.03
Se 0.5000 0.7496 0.7926  -0.03
Se 0.0000 0.7199 0.1969  -0.03
Ti 0.5000 0.5000 0.0000  1.34
K 0.0000 0.5000 0.5000  0.00
K 0.5000 0.0000 0.5000  0.00

---

Entry 5:
Compound: K3PaTi2Se6
Source: Alexandria
Functional: PBE
Structure: optimized geometry

Values from the calculation:
Space-group type: C2/m, No. 12
D(E_F) (states/eV per atom): 0.420
ΔE_f (raw) (eV/atom): -1.259
Total magnetization (μB/cell): 4.047
Calculated density (g/cm3): 4.82

Unit cell a=6.8803 b=6.8803 c=8.0568 alpha=98.12 beta=98.12 gamma=120.25
Each line ends with the local moment (μB).
Atoms (fractional coordinates):
Se 0.2869 0.2869 0.8094  -0.03
Se 0.0696 0.4161 0.2009  -0.03
Se 0.9304 0.5839 0.7991  -0.03
Se 0.5839 0.9304 0.7991  -0.03
Se 0.4161 0.0696 0.2009  -0.03
Se 0.7131 0.7131 0.1906  -0.03
K 0.8381 0.1619 0.5000  0.00
K 0.5000 0.5000 0.5000  0.00
K 0.1619 0.8381 0.5000  0.00
Ti 0.3240 0.6760 0.0000  1.24
Ti 0.6760 0.3240 0.0000  1.24
Pa 0.0000 0.0000 0.0000  0.94

---

Entry 6:
Compound: K3Pa3TiSe8
Source: Alexandria
Functional: PBE
Structure: optimized geometry

Values from the calculation:
Space-group type: R-3m, No. 166
D(E_F) (states/eV per atom): 1.089
ΔE_f (raw) (eV/atom): -1.319
Total magnetization (μB/cell): 6.027
Calculated density (g/cm3): 5.43

Unit cell a=8.1075 b=8.1082 c=9.2775 alpha=115.91 beta=89.99 gamma=120.00
Each line ends with the local moment (μB).
Atoms (fractional coordinates):
Pa 0.0000 0.5000 0.5000  1.26
Pa 0.5000 0.5000 0.5000  1.26
Pa 0.5000 0.0000 0.5000  1.26
Se 0.2250 0.9732 0.6981  -0.03
Se 0.7384 0.4768 0.7152  -0.03
Se 0.7482 0.9732 0.6981  -0.03
Se 0.2518 0.0268 0.3019  -0.03
Se 0.7750 0.0268 0.3019  -0.03
Se 0.7750 0.5500 0.3019  -0.03
Se 0.2250 0.4500 0.6981  -0.03
Se 0.2616 0.5232 0.2848  -0.03
Ti 0.0000 0.0000 0.5000  1.23
K 0.5000 0.5000 0.0000  0.00
K 0.0000 0.5000 0.0000  0.00
K 0.0000 0.0000 0.0000  0.00

---

- Which formula does entry 5 have?
  K3PaTi2Se6